The following is a PBE calculation of LiHo2IO6 after structural relaxation, from the Alexandria database.

Total DFT energy (no corrections) = -6.41 eV/atom
Formation energy without anion corrections = -2178 meV per atom
Space-group type = P1 (1)

Unit cell a=5.908 b=5.962 c=6.170 alpha=59.48 beta=60.41 gamma=56.59
Fractional coordinates of all 10 atoms:
Ho 0.006 0.022 0.973
Ho 0.535 0.515 0.404
O 0.585 0.271 0.202
O 0.926 0.602 0.196
Li 0.910 0.814 0.631
O 0.361 0.679 0.773
O 0.182 0.890 0.276
O 0.696 0.146 0.763
I 0.312 0.334 0.024
O 0.146 0.389 0.773